The following is a DFT calculation (PBE-GGA) of a relaxed CdW4AuN2 crystal.

Structure (CIF):
```
data_CdW4AuN2
_chemical_formula_sum 'Cd1 W4 Au1 N2'
_space_group_name_H-M_alt 'P -6 m 2'
_space_group_IT_number 187
_space_group_name_Hall 'P -6 2'
_cell_length_a 2.8512
_cell_length_b 2.8512
_cell_length_c 15.6460
_cell_angle_alpha 90.00
_cell_angle_beta 90.00
_cell_angle_gamma 120.00
loop_
_atom_site_label
_atom_site_type_symbol
_atom_site_fract_x
_atom_site_fract_y
_atom_site_fract_z
Cd1 Cd 0.0000 0.0000 0.0000
W1 W 0.0000 0.0000 0.3441
W2 W 0.6667 0.3333 0.1602
Au1 Au 0.6667 0.3333 0.5000
N1 N 0.3333 0.6667 0.2518
```

Results
Its crystal system is hexagonal. The mass density comes out at 16.17 g/cm³. The value obtained for the total magnetization is 0.0 μB/cell.

The following is a DFT calculation (PBE-GGA) of a relaxed Zr4CdAuN2 crystal.

Structure (CIF):
```
data_Zr4CdAuN2
_chemical_formula_sum 'Zr4 Cd1 Au1 N2'
_space_group_name_H-M_alt 'P -6 m 2'
_space_group_IT_number 187
_space_group_name_Hall 'P -6 2'
_cell_length_a 3.3076
_cell_length_b 3.3076
_cell_length_c 14.4783
_cell_angle_alpha 90.00
_cell_angle_beta 90.00
_cell_angle_gamma 120.00
loop_
_atom_site_label
_atom_site_type_symbol
_atom_site_fract_x
_atom_site_fract_y
_atom_site_fract_z
Zr1 Zr 0.0000 0.0000 0.1577
Zr2 Zr 0.6667 0.3333 0.3282
Cd1 Cd 0.0000 0.0000 0.5000
Au1 Au 0.6667 0.3333 0.0000
N1 N 0.3333 0.6667 0.2437
```

Results
Its crystal system is hexagonal. The mass density comes out at 8.50 g/cm³. The value obtained for the total magnetization is 0.0 μB/cell.

The following is a DFT calculation (PBE-GGA) of a relaxed Na6Cd16Au7 crystal.

Structure (CIF):
```
data_Na6Cd16Au7
_chemical_formula_sum 'Na24 Cd64 Au28'
_space_group_name_H-M_alt 'F m -3 m'
_space_group_IT_number 225
_space_group_name_Hall '-F 4 2 3'
_cell_length_a 13.698
_cell_length_b 13.698
_cell_length_c 13.698
_cell_angle_alpha 90.00
_cell_angle_beta 90.00
_cell_angle_gamma 90.00
loop_
_atom_site_label
_atom_site_type_symbol
_atom_site_fract_x
_atom_site_fract_y
_atom_site_fract_z
Na1 Na 0.000 0.000 0.208
Cd1 Cd 0.119 0.119 0.381
Cd2 Cd 0.162 0.162 0.162
Au1 Au 0.000 0.000 0.500
Au2 Au 0.000 0.250 0.250
```

Results
Its crystal system is cubic. The mass density comes out at 8.57 g/cm³.

| no. | energy (eV per formula unit) |
| --- | --- |
| 1 | -70.90 |
| 2 | -63.03 |
| 3 | -51.98 |